PmMg11Hg | PBE | optimized geometry

Lattice parameters (Å, degrees): 7.7795 7.7795 7.7222 98.11 98.11 135.21
Positions (direct):
Pm 0.0000 0.0000 0.0000
Mg 0.0000 0.0000 0.5000
Mg 0.0000 0.5000 0.0000
Mg 0.0028 0.3506 0.3531
Mg 0.2896 0.5001 0.7853
Mg 0.3506 0.0028 0.3531
Mg 0.5000 0.0000 0.0000
Mg 0.5001 0.2896 0.7853
Mg 0.4999 0.7104 0.2147
Mg 0.6494 0.9972 0.6469
Mg 0.7104 0.4999 0.2147
Mg 0.9972 0.6494 0.6469
Hg 0.5000 0.5000 0.5000

Computed properties:
Energy relative to the elements   -93 meV per atom
D(E_F)   0.421 states/eV per atom
Crystal system   monoclinic
Size of the total moment   0.00 μB per formula unit

---

Pm8Mg2Hg | PBE | optimized geometry

Lattice parameters (Å, degrees): 9.5901 9.5901 7.2707 105.48 105.48 32.90
Positions (direct):
Pm 0.0215 0.0215 0.2613
Pm 0.1925 0.1925 0.7755
Pm 0.3376 0.3376 0.5505
Pm 0.4066 0.4066 0.0460
Pm 0.5934 0.5934 0.9540
Pm 0.6624 0.6624 0.4495
Pm 0.8075 0.8075 0.2245
Pm 0.9785 0.9785 0.7387
Mg 0.1893 0.1893 0.2076
Mg 0.8107 0.8107 0.7924
Hg 0.5000 0.5000 0.5000

Computed properties:
Energy relative to the elements   -37 meV per atom
D(E_F)   1.153 states/eV per atom
Crystal system   monoclinic
Size of the total moment   0.00 μB per formula unit

---

Pm4Mg2Hg | PBE | optimized geometry

Lattice parameters (Å, degrees): 6.5815 6.5815 6.5815 109.42 109.42 109.58
Positions (direct):
Pm 0.0000 0.0000 0.5000
Pm 0.0000 0.5000 0.0000
Pm 0.5000 0.0000 0.0000
Pm 0.5000 0.5000 0.5000
Mg 0.0000 0.5000 0.5000
Mg 0.5000 0.0000 0.5000
Hg 0.0000 0.0000 0.0000

Computed properties:
Energy relative to the elements   -44 meV per atom
D(E_F)   1.434 states/eV per atom
Crystal system   tetragonal
Size of the total moment   0.00 μB per formula unit

---

Pm2Mg3Hg3 | PBE | optimized geometry

Lattice parameters (Å, degrees): 8.9644 8.9644 8.9644 33.44 33.44 33.44
Positions (direct):
Pm 0.0000 0.0000 0.0000
Pm 0.4917 0.4917 0.4917
Mg 0.2436 0.2436 0.2436
Mg 0.6190 0.6190 0.6190
Mg 0.7462 0.7462 0.7462
Hg 0.1222 0.1222 0.1222
Hg 0.3648 0.3648 0.3648
Hg 0.8769 0.8769 0.8769

Computed properties:
Energy relative to the elements   -395 meV per atom
D(E_F)   0.372 states/eV per atom
Crystal system   trigonal
Size of the total moment   0.00 μB per formula unit

---

PmMg2Hg | PBE | optimized geometry

Lattice parameters (Å, degrees): 5.0976 5.0976 5.0976 60.00 60.00 60.00
Positions (direct):
Pm 0.0000 0.0000 0.0000
Mg 0.2500 0.2500 0.2500
Mg 0.7500 0.7500 0.7500
Hg 0.5000 0.5000 0.5000

Computed properties:
Energy relative to the elements   -186 meV per atom
D(E_F)   0.295 states/eV per atom
Crystal system   cubic
Size of the total moment   0.00 μB per formula unit

---

Pm6Mg2Hg | PBE | optimized geometry

Lattice parameters (Å, degrees): 8.6337 8.6337 11.6382 128.12 128.12 24.43
Positions (direct):
Pm 0.0451 0.0451 0.1860
Pm 0.3067 0.3067 0.8988
Pm 0.3217 0.3217 0.4600
Pm 0.6783 0.6783 0.5400
Pm 0.6933 0.6933 0.1012
Pm 0.9549 0.9549 0.8140
Mg 0.4093 0.4093 0.2554
Mg 0.5907 0.5907 0.7446
Hg 0.0000 0.0000 0.5000

Computed properties:
Energy relative to the elements   -75 meV per atom
D(E_F)   1.054 states/eV per atom
Crystal system   monoclinic
Size of the total moment   0.00 μB per formula unit

---

PmMg12Hg4 | PBE | optimized geometry

Lattice parameters (Å, degrees): 8.4303 8.4303 8.4303 109.47 109.47 109.47
Positions (direct):
Pm 0.0000 0.0000 0.0000
Mg 0.1570 0.3415 0.4985
Mg 0.1570 0.6585 0.8155
Mg 0.1845 0.8430 0.3415
Mg 0.3415 0.1845 0.8430
Mg 0.3415 0.4985 0.1570
Mg 0.4985 0.1570 0.3415
Mg 0.5015 0.8430 0.6585
Mg 0.6585 0.5015 0.8430
Mg 0.6585 0.8155 0.1570
Mg 0.8155 0.1570 0.6585
Mg 0.8430 0.3415 0.1845
Mg 0.8430 0.6585 0.5015
Hg 0.0000 0.0000 0.5000
Hg 0.0000 0.5000 0.0000
Hg 0.5000 0.0000 0.0000
Hg 0.5000 0.5000 0.5000

Computed properties:
Energy relative to the elements   102 meV per atom
D(E_F)   0.479 states/eV per atom
Crystal system   cubic
Size of the total moment   0.00 μB per formula unit

---

PmMg6Hg12 | PBE | optimized geometry

Lattice parameters (Å, degrees): 8.5180 8.5180 8.5180 109.47 109.47 109.47
Positions (direct):
Pm 0.0000 0.0000 0.0000
Mg 0.1545 0.5000 0.6545
Mg 0.3455 0.8455 0.5000
Mg 0.5000 0.3455 0.8455
Mg 0.5000 0.6545 0.1545
Mg 0.6545 0.1545 0.5000
Mg 0.8455 0.5000 0.3455
Hg 0.1046 0.2762 0.8285
Hg 0.1715 0.4477 0.2762
Hg 0.1715 0.8954 0.7238
Hg 0.2762 0.1715 0.4477
Hg 0.2762 0.8285 0.1046
Hg 0.4477 0.2762 0.1715
Hg 0.5523 0.7238 0.8285
Hg 0.7238 0.1715 0.8954
Hg 0.7238 0.8285 0.5523
Hg 0.8285 0.1046 0.2762
Hg 0.8285 0.5523 0.7238
Hg 0.8954 0.7238 0.1715

Computed properties:
Energy relative to the elements   -119 meV per atom
D(E_F)   0.486 states/eV per atom
Crystal system   cubic
Size of the total moment   0.00 μB per formula unit

---

Pm2MgHg8 | PBE | optimized geometry

Lattice parameters (Å, degrees): 9.0126 9.0126 6.8792 108.18 108.18 31.31
Positions (direct):
Pm 0.2126 0.2126 0.1891
Pm 0.7874 0.7874 0.8109
Mg 0.5000 0.5000 0.5000
Hg 0.0158 0.0158 0.2295
Hg 0.1613 0.1613 0.6794
Hg 0.3585 0.3585 0.6263
Hg 0.3919 0.3919 0.0853
Hg 0.6081 0.6081 0.9147
Hg 0.6415 0.6415 0.3737
Hg 0.8387 0.8387 0.3206
Hg 0.9842 0.9842 0.7705

Computed properties:
Energy relative to the elements   -272 meV per atom
D(E_F)   0.648 states/eV per atom
Crystal system   monoclinic
Size of the total moment   0.00 μB per formula unit

---

Pm3Mg9Hg2 | PBE | optimized geometry

Lattice parameters (Å, degrees): 8.8683 8.8683 8.8683 147.77 98.48 90.38
Positions (direct):
Pm 0.0000 0.0000 0.0000
Pm 0.2917 0.2917 0.0000
Pm 0.7083 0.7083 0.0000
Mg 0.0068 0.6348 0.3720
Mg 0.1328 0.8586 0.2742
Mg 0.2628 0.6348 0.6280
Mg 0.4155 0.1414 0.2742
Mg 0.5000 0.0000 0.5000
Mg 0.5845 0.8586 0.7258
Mg 0.7372 0.3652 0.3720
Mg 0.8672 0.1414 0.7258
Mg 0.9932 0.3652 0.6280
Hg 0.3341 0.5000 0.8341
Hg 0.6659 0.5000 0.1659

Computed properties:
Energy relative to the elements   -142 meV per atom
D(E_F)   0.946 states/eV per atom
Crystal system   orthorhombic
Size of the total moment   0.00 μB per formula unit

---

Pm3Mg2Hg3 | PBE | optimized geometry

Lattice parameters (Å, degrees): 10.9539 10.9539 10.9539 159.79 151.81 34.93
Positions (direct):
Pm 0.0000 0.0000 0.0000
Pm 0.3740 0.8740 0.5000
Pm 0.6260 0.1260 0.5000
Mg 0.2381 0.2381 0.0000
Mg 0.7619 0.7619 0.0000
Hg 0.1301 0.6301 0.5000
Hg 0.5000 0.5000 0.0000
Hg 0.8699 0.3699 0.5000

Computed properties:
Energy relative to the elements   -327 meV per atom
D(E_F)   0.966 states/eV per atom
Crystal system   orthorhombic
Size of the total moment   1.00 μB per formula unit

---

Pm2MgHg8 | PBE | optimized geometry

Lattice parameters (Å, degrees): 4.6860 4.6860 12.7864 90.00 90.00 90.00
Positions (direct):
Pm 0.0000 0.0000 0.1885
Pm 0.0000 0.0000 0.8115
Mg 0.0000 0.0000 0.5000
Hg 0.0000 0.5000 0.0000
Hg 0.0000 0.5000 0.3665
Hg 0.0000 0.5000 0.6335
Hg 0.5000 0.0000 0.0000
Hg 0.5000 0.0000 0.3665
Hg 0.5000 0.0000 0.6335
Hg 0.5000 0.5000 0.1821
Hg 0.5000 0.5000 0.8179

Computed properties:
Energy relative to the elements   -292 meV per atom
D(E_F)   0.727 states/eV per atom
Crystal system   tetragonal
Size of the total moment   0.00 μB per formula unit

---

Pm3MgHg3 | PBE | optimized geometry

Lattice parameters (Å, degrees): 6.7091 6.7091 9.3135 91.96 91.96 108.43
Positions (direct):
Pm 0.1749 0.8251 0.0000
Pm 0.2348 0.7652 0.5000
Pm 0.4117 0.4117 0.1803
Pm 0.5883 0.5883 0.8197
Pm 0.7652 0.2348 0.5000
Pm 0.8251 0.1749 0.0000
Mg 0.2856 0.2856 0.5401
Mg 0.7144 0.7144 0.4599
Hg 0.0436 0.0436 0.2860
Hg 0.0855 0.4649 0.7671
Hg 0.4649 0.0855 0.7671
Hg 0.5351 0.9145 0.2329
Hg 0.9145 0.5351 0.2329
Hg 0.9564 0.9564 0.7140

Computed properties:
Energy relative to the elements   -313 meV per atom
D(E_F)   1.075 states/eV per atom
Crystal system   monoclinic
Size of the total moment   0.00 μB per formula unit

---

PmMg2Hg | PBE | optimized geometry

Lattice parameters (Å, degrees): 10.0810 10.0810 10.0810 20.05 20.05 20.05
Positions (direct):
Pm 0.0000 0.0000 0.0000
Mg 0.5719 0.5719 0.5719
Mg 0.7603 0.7603 0.7603
Hg 0.1661 0.1661 0.1661

Computed properties:
Energy relative to the elements   -73 meV per atom
D(E_F)   0.543 states/eV per atom
Crystal system   trigonal
Size of the total moment   0.00 μB per formula unit

---

PmMg2Hg9 | PBE | optimized geometry

Lattice parameters (Å, degrees): 4.6744 4.6744 13.1253 90.00 90.00 90.00
Positions (direct):
Pm 0.0000 0.0000 0.0000
Mg 0.0000 0.0000 0.3408
Mg 0.0000 0.0000 0.6592
Hg 0.0000 0.5000 0.1770
Hg 0.0000 0.5000 0.5000
Hg 0.0000 0.5000 0.8230
Hg 0.5000 0.0000 0.1770
Hg 0.5000 0.0000 0.5000
Hg 0.5000 0.0000 0.8230
Hg 0.5000 0.5000 0.0000
Hg 0.5000 0.5000 0.3395
Hg 0.5000 0.5000 0.6605

Computed properties:
Energy relative to the elements   -178 meV per atom
D(E_F)   0.432 states/eV per atom
Crystal system   tetragonal
Size of the total moment   0.00 μB per formula unit

---

PmMg3Hg3 | PBE | optimized geometry

Lattice parameters (Å, degrees): 8.7633 8.7633 4.9903 90.00 90.00 120.00
Positions (direct):
Pm 0.3333 0.6667 0.2500
Pm 0.6667 0.3333 0.7500
Mg 0.0025 0.7726 0.2500
Mg 0.2274 0.2299 0.2500
Mg 0.2299 0.0025 0.7500
Mg 0.7701 0.9975 0.2500
Mg 0.7726 0.7701 0.7500
Mg 0.9975 0.2274 0.7500
Hg 0.0787 0.6307 0.7500
Hg 0.3693 0.4480 0.7500
Hg 0.4480 0.0787 0.2500
Hg 0.5520 0.9213 0.7500
Hg 0.6307 0.5520 0.2500
Hg 0.9213 0.3693 0.2500

Computed properties:
Energy relative to the elements   -261 meV per atom
D(E_F)   0.463 states/eV per atom
Crystal system   hexagonal
Size of the total moment   0.00 μB per formula unit

---

PmMg4Hg5 | PBE | optimized geometry

Lattice parameters (Å, degrees): 3.6102 3.6102 17.3363 90.00 90.00 90.00
Positions (direct):
Pm 0.0000 0.0000 0.0000
Mg 0.0000 0.0000 0.2133
Mg 0.0000 0.0000 0.4044
Mg 0.0000 0.0000 0.5956
Mg 0.0000 0.0000 0.7867
Hg 0.5000 0.5000 0.1176
Hg 0.5000 0.5000 0.3088
Hg 0.5000 0.5000 0.5000
Hg 0.5000 0.5000 0.6912
Hg 0.5000 0.5000 0.8824

Computed properties:
Energy relative to the elements   -290 meV per atom
D(E_F)   0.438 states/eV per atom
Crystal system   tetragonal
Size of the total moment   0.28 μB per formula unit

---

Pm2MgHg3 | PBE | optimized geometry

Lattice parameters (Å, degrees): 10.0526 9.3740 6.1058 77.85 65.73 36.43
Positions (direct):
Pm 0.2420 0.7580 0.7580
Pm 0.2500 0.2500 0.2500
Pm 0.7500 0.7500 0.7500
Pm 0.7580 0.2420 0.2420
Mg 0.3328 0.3328 0.6672
Mg 0.6672 0.6672 0.3328
Hg 0.1702 0.1702 0.8298
Hg 0.1725 0.6571 0.3429
Hg 0.3429 0.8275 0.1725
Hg 0.6571 0.1725 0.8275
Hg 0.8275 0.3429 0.6571
Hg 0.8298 0.8298 0.1702

Computed properties:
Energy relative to the elements   -397 meV per atom
D(E_F)   0.757 states/eV per atom
Crystal system   orthorhombic
Size of the total moment   0.00 μB per formula unit

---

Pm3Mg2Hg3 | PBE | optimized geometry

Lattice parameters (Å, degrees): 9.0534 9.0534 6.0075 90.00 90.00 120.00
Positions (direct):
Pm 0.0000 0.2603 0.2500
Pm 0.0000 0.7397 0.7500
Pm 0.2603 0.0000 0.2500
Pm 0.2603 0.2603 0.7500
Pm 0.7397 0.0000 0.7500
Pm 0.7397 0.7397 0.2500
Mg 0.3333 0.6667 0.0000
Mg 0.3333 0.6667 0.5000
Mg 0.6667 0.3333 0.0000
Mg 0.6667 0.3333 0.5000
Hg 0.0000 0.3935 0.7500
Hg 0.0000 0.6065 0.2500
Hg 0.3935 0.0000 0.7500
Hg 0.3935 0.3935 0.2500
Hg 0.6065 0.0000 0.2500
Hg 0.6065 0.6065 0.7500

Computed properties:
Energy relative to the elements   -378 meV per atom
D(E_F)   0.895 states/eV per atom
Crystal system   hexagonal
Size of the total moment   0.00 μB per formula unit

---

Pm2Mg2Hg | PBE | optimized geometry

Lattice parameters (Å, degrees): 5.2566 5.2566 6.4706 113.84 113.84 59.96
Positions (direct):
Pm 0.1008 0.1008 0.3022
Pm 0.8992 0.8992 0.6978
Mg 0.3211 0.3211 0.9638
Mg 0.6789 0.6789 0.0362
Hg 0.5000 0.5000 0.5000

Computed properties:
Energy relative to the elements   -216 meV per atom
D(E_F)   1.058 states/eV per atom
Crystal system   monoclinic
Size of the total moment   0.00 μB per formula unit